Here is crystalline La8TlBi3Te4 at its relaxed geometry from Alexandria via LeMat-Bulk. Energies are from PBE.

a b c (Å): 9.287 9.263 9.286
angles (deg): 120.09 120.00 90.00
Positions (direct):
Bi: 0.500 0.500 0.500
Bi: 0.000 0.500 0.500
Bi: 0.500 0.500 0.000
Te: 0.500 0.000 0.000
Te: 0.500 0.000 0.500
Te: 0.000 0.000 0.500
Te: 0.000 0.000 0.000
La: 0.247 0.747 0.000
La: 0.753 0.253 0.506
La: 0.749 0.748 0.499
La: 0.251 0.252 0.501
La: 0.753 0.253 0.000
La: 0.752 0.747 0.000
La: 0.247 0.747 0.494
La: 0.248 0.253 0.000
Tl: 0.000 0.500 0.000

Results
Formation energy (no corrections) in eV per atom: -1.25
Magnetic moment in μB/f.u.: 0.00
Density of states at the Fermi level in states/eV/cell: 5.34



Here is crystalline LaTlBi2Te at its relaxed geometry from Alexandria via LeMat-Bulk. Energies are from PBE.

a b c (Å): 6.149 6.306 6.149
angles (deg): 90.00 90.00 90.00
Positions (direct):
Te: 0.500 0.500 0.500
La: 0.000 0.000 0.000
Tl: 0.000 0.500 0.000
Bi: 0.500 0.000 0.000
Bi: 0.000 0.000 0.500

Results
Formation energy (no corrections) in eV per atom: 0.53
Magnetic moment in μB/f.u.: 0.00
Density of states at the Fermi level in states/eV/cell: 10.05



Here is crystalline La2Tl3BiTe6 at its relaxed geometry from Alexandria via LeMat-Bulk. Energies are from PBE.

a b c (Å): 8.041 8.041 8.531
angles (deg): 99.05 99.05 120.04
Positions (direct):
Tl: 0.830 0.170 0.500
Tl: 0.170 0.830 0.500
Tl: 0.500 0.500 0.500
Te: 0.747 0.747 0.224
Te: 0.402 0.073 0.220
Te: 0.253 0.253 0.776
Te: 0.927 0.598 0.780
Te: 0.598 0.927 0.780
Te: 0.073 0.402 0.220
La: 0.666 0.334 0.000
La: 0.334 0.666 0.000
Bi: 0.000 0.000 0.000

Results
Formation energy (no corrections) in eV per atom: -0.86
Magnetic moment in μB/f.u.: 0.00



Here is crystalline LaTl3Bi2Te6 at its relaxed geometry from Alexandria via LeMat-Bulk. Energies are from PBE.

a b c (Å): 7.990 7.990 8.468
angles (deg): 99.06 99.06 119.95
Positions (direct):
Te: 0.075 0.414 0.222
Te: 0.733 0.733 0.220
Te: 0.586 0.925 0.778
Te: 0.267 0.267 0.780
Te: 0.925 0.586 0.778
Te: 0.414 0.075 0.222
La: 0.000 0.000 0.000
Tl: 0.500 0.500 0.500
Tl: 0.165 0.835 0.500
Tl: 0.835 0.165 0.500
Bi: 0.666 0.334 0.000
Bi: 0.334 0.666 0.000

Results
Formation energy (no corrections) in eV per atom: -0.58
Magnetic moment in μB/f.u.: 0.00



Here is crystalline La6Tl2BiTe3 at its relaxed geometry from Alexandria via LeMat-Bulk. Energies are from PBE.

a b c (Å): 4.538 9.454 10.431
angles (deg): 104.94 102.56 90.00
Positions (direct):
Tl: 0.830 0.657 0.661
Tl: 0.170 0.343 0.339
Te: 0.164 0.838 0.329
Te: 0.836 0.162 0.671
Te: 0.500 0.500 0.000
La: 0.998 0.750 0.995
La: 0.665 0.591 0.329
La: 0.335 0.409 0.671
La: 0.333 0.912 0.665
La: 0.667 0.088 0.335
La: 0.002 0.250 0.005
Bi: 0.500 0.000 0.000

Results
Formation energy (no corrections) in eV per atom: -1.08
Magnetic moment in μB/f.u.: 0.00
Density of states at the Fermi level in states/eV/cell: 7.90



Here is crystalline La3Tl3BiTe8 at its relaxed geometry from Alexandria via LeMat-Bulk. Energies are from PBE.

a b c (Å): 9.288 9.288 9.584
angles (deg): 118.99 90.00 120.00
Positions (direct):
Te: 0.742 0.485 0.727
Te: 0.761 0.016 0.278
Te: 0.258 0.515 0.273
Te: 0.239 0.984 0.722
Te: 0.745 0.984 0.722
Te: 0.761 0.523 0.278
Te: 0.255 0.016 0.278
Te: 0.239 0.477 0.722
Tl: 0.000 0.500 0.000
Tl: 0.500 0.500 0.000
Tl: 0.000 0.000 0.000
La: 0.500 0.000 0.500
La: 0.500 0.500 0.500
La: 0.000 0.500 0.500
Bi: 0.000 0.000 0.500

Results
Formation energy (no corrections) in eV per atom: -0.91
Magnetic moment in μB/f.u.: 0.00
Density of states at the Fermi level in states/eV/cell: 10.77



Here is crystalline LaTmBiTe at its relaxed geometry from Alexandria via LeMat-Bulk. Energies are from PBE.

a b c (Å): 4.404 4.403 8.210
angles (deg): 90.00 105.56 119.99
Each line ends with the local moment (μB).
Positions (direct):
La: 0.475 0.135 0.625  0.20
Bi: 0.317 0.557 0.889  -0.01
Tm: 0.130 0.963 0.109  0.05
Te: 0.955 0.376 0.346  -0.01

Results
Formation energy (no corrections) in eV per atom: -1.13
Magnetic moment in μB/f.u.: 0.63
Density of states at the Fermi level in states/eV/cell: 1.78



Here is crystalline La4ThBi5 at its relaxed geometry from Alexandria via LeMat-Bulk. Energies are from PBE.

a b c (Å): 6.616 8.106 8.106
angles (deg): 80.41 65.91 65.91
Positions (direct):
Bi: 0.706 0.197 0.394
Bi: 0.501 0.000 0.000
Bi: 0.100 0.606 0.197
Bi: 0.296 0.803 0.606
Bi: 0.902 0.394 0.803
Th: 0.001 0.000 0.000
La: 0.403 0.400 0.797
La: 0.802 0.797 0.600
La: 0.200 0.203 0.400
La: 0.599 0.600 0.203

Results
Magnetic moment in μB/f.u.: 0.00
Density of states at the Fermi level in states/eV/cell: 3.07
Energy in eV per atom: -5.63



Here is crystalline LaThBi2 at its relaxed geometry from Alexandria via LeMat-Bulk. Energies are from PBE.

a b c (Å): 4.508 4.508 8.563
angles (deg): 74.74 74.74 60.00
Each line ends with the local moment (μB).
Positions (direct):
La: 0.669 0.669 0.992  0.04
Bi: 0.249 0.249 0.252  -0.01
Bi: 0.083 0.083 0.750  0.00
Th: 0.498 0.498 0.506  0.24

Results
Magnetic moment in μB/f.u.: 0.68
Energy above the most stable polymorph in this dataset in eV/atom: 0.095
Density of states at the Fermi level in states/eV/cell: 2.27



Here is crystalline LaTh5Bi6 at its relaxed geometry from Alexandria via LeMat-Bulk. Energies are from PBE.

a b c (Å): 8.001 7.980 7.983
angles (deg): 60.01 80.43 70.57
Positions (direct):
Th: 0.000 0.667 0.666
Th: 0.500 0.500 0.000
Th: 0.500 0.836 0.328
Th: 0.500 0.164 0.672
Th: 0.000 0.333 0.334
Bi: 0.748 0.420 0.664
Bi: 0.252 0.580 0.336
Bi: 0.249 0.253 0.000
Bi: 0.751 0.747 0.000
Bi: 0.252 0.916 0.664
Bi: 0.748 0.084 0.336
La: 0.000 0.000 0.000

Results
Magnetic moment in μB/f.u.: 0.00
Density of states at the Fermi level in states/eV/cell: 8.81
Energy in eV per atom: -6.09



Please write out number 2 again, unchanged.
Here is crystalline LaTlBi2Te at its relaxed geometry from Alexandria via LeMat-Bulk. Energies are from PBE.

a b c (Å): 6.149 6.306 6.149
angles (deg): 90.00 90.00 90.00
Positions (direct):
Te: 0.500 0.500 0.500
La: 0.000 0.000 0.000
Tl: 0.000 0.500 0.000
Bi: 0.500 0.000 0.000
Bi: 0.000 0.000 0.500

Results
Formation energy (no corrections) in eV per atom: 0.53
Magnetic moment in μB/f.u.: 0.00
Density of states at the Fermi level in states/eV/cell: 10.05